4
Lattice="1.8316 -2.6556 0.0000 1.8316 2.6556 0.0000 0.0000 0.0000 8.6120" Properties=species:S:1:pos:R:3 comment="ScCr2Br (PBE, optimized geometry)" sg="Cmmm (65)" density_g_cm3=4.54 dft_energy_ev_per_atom=-6.352 formation_energy_uncorrected_ev_per_atom=0.4605 pbc="T T T"
Sc 0.0000 0.0000 0.0000
Cr 1.8316 0.0000 2.1937
Cr 1.8316 0.0000 6.4182
Br 0.0000 0.0000 4.3060